# TmLuSn2, relaxed, DFT PBE
data_TmLuSn2
_chemical_formula_sum 'Tm1 Lu1 Sn2'
_cell_length_a 3.4425
_cell_length_b 3.4425
_cell_length_c 8.6371
_cell_angle_alpha 90.00
_cell_angle_beta 90.00
_cell_angle_gamma 90.00
_space_group_name_H-M_alt 'P 1'
_space_group_IT_number 1
_space_group_name_Hall 'P 1'
loop_
_atom_site_label
_atom_site_type_symbol
_atom_site_fract_x
_atom_site_fract_y
_atom_site_fract_z
_atom_site_occupancy
Tm1 Tm 0.0000 0.0000 0.0000 1
Lu1 Lu 0.0000 0.0000 0.5000 1
Sn1 Sn 0.5000 0.5000 0.2514 1
Sn2 Sn 0.5000 0.5000 0.7486 1
# **DFT total energy**: -4.809 eV/atom
# **Space-group type**: P4/mmm
# **ΔH_f (0 K)**: -12.90 kcal/mol of atoms
# **ΔE to the lowest computed polymorph**: 0 meV per atom